This record from Alexandria describes crystalline NaDy2WO6 at its relaxed geometry. The functional is PBE with a Hubbard U.

a b c (Å): 5.693 5.649 6.062
angles (deg): 61.38 61.28 60.23
Site moments in Bohr magnetons follow the coordinates.
Sites, in units of the cell vectors:
1 Na 0.800 0.795 0.601  0.00
2 Dy 0.531 0.518 0.421  0.02
3 Dy 0.010 0.022 0.943  0.00
4 W 0.323 0.320 0.036  0.95
5 O 0.577 0.232 0.235  0.03
6 O 0.237 0.966 0.230  -0.02
7 O 0.956 0.581 0.236  0.03
8 O 0.392 0.684 0.778  -0.01
9 O 0.694 0.146 0.764  0.01
10 O 0.141 0.397 0.772  0.02

Computed properties:
- electronic total energy (Ha/atom) = -0.2766
- symmetry = No. 1